<P>
{"formula": "HfZnNiRu", "functional": "GGA-PBE", "state": "relaxed", "spacegroup": "Pmmm", "cell": [[3.388, 0.000, 0.000], [0.000, 4.114, 0.000], [0.000, 0.000, 4.210]], "species": ["Hf", "Zn", "Ni", "Ru"], "fractional_positions": [[0.000, 0.000, 0.000], [0.000, 0.500, 0.500], [0.500, 0.000, 0.500], [0.500, 0.500, 0.000]]}

=====

<Q>
{"formula": "HfZnNiRu", "functional": "GGA-PBE", "state": "relaxed", "spacegroup": "F-43m", "cell": [[0.000, 3.094, 3.094], [3.094, 0.000, 3.094], [3.094, 3.094, 0.000]], "species": ["Hf", "Zn", "Ni", "Ru"], "fractional_positions": [[0.000, 0.000, 0.000], [0.500, 0.500, 0.500], [0.750, 0.750, 0.750], [0.250, 0.250, 0.250]]}

=====

Which of them is most stable, and which least? Most stable: <P>; least stable: <Q>.

=====

<P>
{"formula": "Hf2NiS2", "functional": "GGA-PBE", "state": "relaxed", "spacegroup": "I4/mmm", "cell": [[-2.060, 2.060, 5.898], [2.060, -2.060, 5.898], [2.060, 2.060, -5.898]], "species": ["Hf", "Hf", "Ni", "S", "S"], "fractional_positions": [[0.126, 0.126, 0.000], [0.874, 0.874, 0.000], [0.500, 0.500, 0.000], [0.250, 0.750, 0.500], [0.750, 0.250, 0.500]]}

=====

<Q>
{"formula": "Hf2NiS2", "functional": "GGA-PBE", "state": "relaxed", "spacegroup": "P4/mbm", "cell": [[7.043, 0.000, 0.000], [0.000, 7.043, 0.000], [0.000, 0.000, 3.342]], "species": ["Hf", "Hf", "Hf", "Hf", "Ni", "Ni", "S", "S", "S", "S"], "fractional_positions": [[0.157, 0.343, 0.000], [0.343, 0.843, 0.000], [0.657, 0.157, 0.000], [0.843, 0.657, 0.000], [0.000, 0.000, 0.000], [0.500, 0.500, 0.000], [0.140, 0.640, 0.500], [0.360, 0.140, 0.500], [0.640, 0.860, 0.500], [0.860, 0.360, 0.500]]}

=====

Which of them is most stable, and which least? Most stable: <Q>; least stable: <P>.

=====

<P>
{"formula": "HfNi3S", "functional": "GGA-PBE", "state": "relaxed", "spacegroup": "Pm-3m", "cell": [[4.162, 0.000, 0.000], [0.000, 4.162, 0.000], [0.000, 0.000, 4.162]], "species": ["Hf", "Ni", "Ni", "Ni", "S"], "fractional_positions": [[0.000, 0.000, 0.000], [0.000, 0.500, 0.500], [0.500, 0.000, 0.500], [0.500, 0.500, 0.000], [0.500, 0.500, 0.500]]}

=====

<Q>
{"formula": "HfNi3S", "functional": "GGA-PBE", "state": "relaxed", "spacegroup": "Pm-3m", "cell": [[4.586, 0.000, 0.000], [0.000, 4.586, 0.000], [0.000, 0.000, 4.586]], "species": ["Hf", "Ni", "Ni", "Ni", "S"], "fractional_positions": [[0.000, 0.000, 0.000], [0.000, 0.000, 0.500], [0.000, 0.500, 0.000], [0.500, 0.000, 0.000], [0.500, 0.500, 0.500]]}

=====

Which of them is most stable, and which least? Most stable: <P>; least stable: <Q>.

=====

<P>
{"formula": "Hf3NiSb", "functional": "GGA-PBE", "state": "relaxed", "spacegroup": "Pm-3m", "cell": [[4.812, 0.000, 0.000], [0.000, 4.812, 0.000], [0.000, 0.000, 4.812]], "species": ["Hf", "Hf", "Hf", "Ni", "Sb"], "fractional_positions": [[0.000, 0.000, 0.500], [0.000, 0.500, 0.000], [0.500, 0.000, 0.000], [0.000, 0.000, 0.000], [0.500, 0.500, 0.500]]}

=====

<Q>
{"formula": "Hf3NiSb", "functional": "GGA-PBE", "state": "relaxed", "spacegroup": "Cmmm", "cell": [[3.519, -6.451, 0.000], [3.519, 6.451, 0.000], [0.000, 0.000, 4.679]], "species": ["Hf", "Hf", "Hf", "Hf", "Hf", "Hf", "Ni", "Ni", "Sb", "Sb"], "fractional_positions": [[0.000, 0.500, 0.500], [0.125, 0.875, 0.000], [0.302, 0.302, 0.500], [0.500, 0.000, 0.500], [0.698, 0.698, 0.500], [0.875, 0.125, 0.000], [0.097, 0.903, 0.500], [0.903, 0.097, 0.500], [0.361, 0.639, 0.000], [0.639, 0.361, 0.000]]}

=====

Which of them is most stable, and which least? Most stable: <Q>; least stable: <P>.

=====

<P>
{"formula": "HfNi4Sb", "functional": "GGA-PBE", "state": "relaxed", "spacegroup": "F-43m", "cell": [[0.000, 3.461, 3.461], [3.461, 0.000, 3.461], [3.461, 3.461, 0.000]], "species": ["Hf", "Ni", "Ni", "Ni", "Ni", "Sb"], "fractional_positions": [[0.000, 0.000, 0.000], [0.123, 0.626, 0.626], [0.626, 0.123, 0.626], [0.626, 0.626, 0.123], [0.626, 0.626, 0.626], [0.250, 0.250, 0.250]]}

=====

<Q>
{"formula": "HfNi4Sb", "functional": "GGA-PBE", "state": "relaxed", "spacegroup": "C2/m", "cell": [[6.342, -2.560, 0.000], [6.342, 2.560, 0.000], [-2.953, 0.000, 5.794]], "species": ["Hf", "Hf", "Ni", "Ni", "Ni", "Ni", "Ni", "Ni", "Ni", "Ni", "Sb", "Sb"], "fractional_positions": [[0.199, 0.199, 0.147], [0.801, 0.801, 0.853], [0.144, 0.662, 0.268], [0.248, 0.752, 0.000], [0.298, 0.298, 0.883], [0.338, 0.856, 0.732], [0.662, 0.144, 0.268], [0.702, 0.702, 0.117], [0.752, 0.248, 0.000], [0.856, 0.338, 0.732], [0.403, 0.403, 0.623], [0.597, 0.597, 0.377]]}

=====

Which of them is most stable, and which least? Most stable: <P>; least stable: <Q>.

=====

<P>
{"formula": "HfNi9Sb2", "functional": "GGA-PBE", "state": "relaxed", "spacegroup": "P4/mmm", "cell": [[3.739, 0.000, 0.000], [0.000, 3.739, 0.000], [0.000, 0.000, 11.144]], "species": ["Hf", "Ni", "Ni", "Ni", "Ni", "Ni", "Ni", "Ni", "Ni", "Ni", "Sb", "Sb"], "fractional_positions": [[0.000, 0.000, 0.000], [0.000, 0.500, 0.166], [0.000, 0.500, 0.500], [0.000, 0.500, 0.834], [0.500, 0.000, 0.166], [0.500, 0.000, 0.500], [0.500, 0.000, 0.834], [0.500, 0.500, 0.000], [0.500, 0.500, 0.335], [0.500, 0.500, 0.665], [0.000, 0.000, 0.333], [0.000, 0.000, 0.667]]}

=====

<Q>
{"formula": "HfNi9Sb2", "functional": "GGA-PBE", "state": "relaxed", "spacegroup": "R-3m", "cell": [[2.397, 1.384, 8.237], [-2.397, 1.384, 8.237], [0.000, -2.768, 8.237]], "species": ["Hf", "Ni", "Ni", "Ni", "Ni", "Ni", "Ni", "Ni", "Ni", "Ni", "Sb", "Sb"], "fractional_positions": [[0.000, 0.000, 0.000], [0.080, 0.581, 0.581], [0.333, 0.333, 0.333], [0.419, 0.419, 0.920], [0.419, 0.920, 0.419], [0.500, 0.500, 0.500], [0.581, 0.080, 0.581], [0.581, 0.581, 0.080], [0.667, 0.667, 0.667], [0.920, 0.419, 0.419], [0.128, 0.128, 0.128], [0.872, 0.872, 0.872]]}

=====

Which of them is most stable, and which least? Most stable: <P>; least stable: <Q>.